1.
RbTlPbCl6 | GGA-PBE | relaxed

Unit cell a=7.3387 b=7.3387 c=13.9467 alpha=90.00 beta=90.00 gamma=120.00
With the nearest neighbours (Å) after each atom.
Atoms (fractional coordinates):
1 Pb 0.3333 0.6667 0.2500  6 Cl 2.92
2 Pb 0.6667 0.3333 0.7500  6 Cl 2.92
3 Tl 0.3333 0.6667 0.7500  6 Cl 2.65
4 Tl 0.6667 0.3333 0.2500  6 Cl 2.65
5 Cl 0.6132 0.9713 0.8604  1 Tl 2.65, 1 Pb 2.92
6 Cl 0.3582 0.9713 0.6396  1 Tl 2.65, 1 Pb 2.92
7 Cl 0.9713 0.3582 0.1396  1 Tl 2.65, 1 Pb 2.92
8 Cl 0.3582 0.3868 0.8604  1 Tl 2.65, 1 Pb 2.92
9 Cl 0.0287 0.3868 0.6396  1 Tl 2.65, 1 Pb 2.92
10 Cl 0.3868 0.0287 0.1396  1 Tl 2.65, 1 Pb 2.92
11 Cl 0.6418 0.6132 0.1396  1 Tl 2.65, 1 Pb 2.92
12 Cl 0.6132 0.6418 0.6396  1 Tl 2.65, 1 Pb 2.92
13 Cl 0.6418 0.0287 0.3604  1 Tl 2.65, 1 Pb 2.92
14 Cl 0.9713 0.6132 0.3604  1 Tl 2.65, 1 Pb 2.92
15 Cl 0.0287 0.6418 0.8604  1 Tl 2.65, 1 Pb 2.92
16 Cl 0.3868 0.3582 0.3604  1 Tl 2.65, 1 Pb 2.92
17 Rb 0.0000 0.0000 0.0000  6 Cl 3.36
18 Rb 0.0000 0.0000 0.5000  6 Cl 3.36

## Properties
Its formation energy from raw total energies is -1.15 eV/atom. The calculated total energy is -56.93 eV for the cell shown. The calculation puts the density of states at the Fermi level at 0.00 states/eV/f.u.


2.
La5PmPrTm2 | GGA-PBE | relaxed

Unit cell a=5.7886 b=10.8053 c=10.7117 alpha=90.00 beta=90.00 gamma=105.54
With the nearest neighbours (Å) after each atom.
Atoms (fractional coordinates):
1 Pm 0.8030 0.6060 0.5137  2 Tm 3.44-3.65, 6 La 3.56-3.77, 2 Pr 3.73
2 Pm 0.1970 0.3940 0.0137  2 Tm 3.44-3.65, 6 La 3.56-3.77, 2 Pr 3.73
3 Tm 0.1162 0.2324 0.3166  8 La 3.39-3.65, 1 Pm 3.65
4 Tm 0.8854 0.7708 0.2358  1 Pm 3.44, 7 La 3.59-3.78, 2 Pr 3.74
5 Tm 0.1146 0.2292 0.7358  1 Pm 3.44, 7 La 3.59-3.78, 2 Pr 3.74
6 Tm 0.8838 0.7676 0.8166  8 La 3.39-3.65, 1 Pm 3.65
7 Pr 0.4114 0.8229 0.4507  5 La 3.11-3.44
8 Pr 0.5886 0.1771 0.9507  5 La 3.11-3.44
9 La 0.2790 0.5581 0.3166  1 Pr 3.11, 1 Tm 3.39
10 La 0.9840 0.9681 0.5176  2 Pr 3.34, 3 Tm 3.49-3.65
11 La 0.2954 0.5907 0.7061  4 La 3.49-3.90, 3 Pm 3.56-3.88, 3 Tm 3.63-3.78, 1 Pr 3.65
12 La 0.7210 0.4419 0.8166  1 Pr 3.11, 1 Tm 3.39
13 La 0.7046 0.4093 0.2061  4 La 3.49-3.90, 3 Pm 3.56-3.88, 3 Tm 3.63-3.78, 1 Pr 3.65
14 La 0.6139 0.2279 0.5241  6 La 3.59-3.96, 4 Tm 3.65-3.68, 1 Pm 3.94
15 La 0.3861 0.7721 0.0241  6 La 3.59-3.96, 4 Tm 3.65-3.68, 1 Pm 3.94
16 La 0.0160 0.0319 0.0176  2 Pr 3.34, 3 Tm 3.49-3.65
17 La 0.5202 0.0403 0.2428  2 Pr 3.18-3.44
18 La 0.4798 0.9597 0.7428  2 Pr 3.18-3.44

## Properties
The calculated total energy is -83.70 eV for the cell shown. The calculation puts the density of states at the Fermi level at 14.22 states/eV/f.u. The formation energy is 1.26 eV per formula unit.


3.
NbCuIr3 | GGA-PBE | relaxed

Unit cell a=4.7577 b=4.7577 c=4.7577 alpha=90.00 beta=90.00 gamma=90.00
With the nearest neighbours (Å) after each atom.
Atoms (fractional coordinates):
1 Cu 0.5000 0.5000 0.5000  12 Ir 3.36
2 Nb 0.0000 0.0000 0.0000  6 Ir 2.38
3 Ir 0.0000 0.5000 0.0000  2 Nb 2.38
4 Ir 0.0000 0.0000 0.5000  2 Nb 2.38
5 Ir 0.5000 0.0000 0.0000  2 Nb 2.38

## Properties
The calculated total energy is -32.32 eV for the cell shown. The calculation puts the density of states at the Fermi level at 4.85 states/eV/f.u. The formation energy is 8.43 eV per formula unit.


4.
LiZn8Pd6 | GGA-PBE | relaxed

Unit cell a=6.7266 b=6.7266 c=6.7266 alpha=66.58 beta=66.58 gamma=66.58
With the nearest neighbours (Å) after each atom.
Atoms (fractional coordinates):
1 Zn 0.1167 0.7890 0.4466  5 Pd 2.56-2.69
2 Zn 0.2110 0.5534 0.8833  5 Pd 2.56-2.69
3 Zn 0.5534 0.8833 0.2110  5 Pd 2.56-2.69
4 Zn 0.8833 0.2110 0.5534  5 Pd 2.56-2.69
5 Zn 0.7890 0.4466 0.1167  5 Pd 2.56-2.69
6 Zn 0.6690 0.6690 0.6690  6 Pd 2.59
7 Zn 0.3310 0.3310 0.3310  6 Pd 2.59
8 Zn 0.4466 0.1167 0.7890  5 Pd 2.56-2.69
9 Pd 0.7160 0.0539 0.3859  7 Zn 2.56-2.69, 1 Li 2.60
10 Pd 0.2840 0.9461 0.6141  7 Zn 2.56-2.69, 1 Li 2.60
11 Pd 0.0539 0.3859 0.7160  7 Zn 2.56-2.69, 1 Li 2.60
12 Pd 0.6141 0.2840 0.9461  7 Zn 2.56-2.69, 1 Li 2.60
13 Pd 0.3859 0.7160 0.0539  7 Zn 2.56-2.69, 1 Li 2.60
14 Pd 0.9461 0.6141 0.2840  7 Zn 2.56-2.69, 1 Li 2.60
15 Li 0.0000 0.0000 0.0000  6 Pd 2.60

## Properties
The calculated total energy is -48.91 eV for the cell shown. The calculation puts the density of states at the Fermi level at 5.55 states/eV/f.u. The formation energy is -5.65 eV per formula unit.


5.
K2TiSi3O9 | GGA-PBE | relaxed

Unit cell a=6.8693 b=6.8693 c=10.0772 alpha=90.00 beta=90.00 gamma=120.00
With the nearest neighbours (Å) after each atom.
Atoms (fractional coordinates):
1 K 0.6667 0.3333 0.9426  9 O 2.85-3.16
2 K 0.3333 0.6667 0.4426  9 O 2.85-3.16
3 K 0.3333 0.6667 0.0574  9 O 2.85-3.16
4 K 0.6667 0.3333 0.5574  9 O 2.85-3.16
5 O 0.0222 0.2452 0.8874  1 Si 1.62
6 O 0.5932 0.5118 0.2500  2 Si 1.66-1.67
7 O 0.7548 0.7769 0.8874  1 Si 1.62
8 O 0.5118 0.9185 0.7500  2 Si 1.66-1.67
9 O 0.0815 0.5932 0.7500  2 Si 1.66-1.67
10 O 0.4882 0.0815 0.2500  2 Si 1.66-1.67
11 O 0.9778 0.7548 0.1126  1 Si 1.62
12 O 0.2231 0.9778 0.6126  1 Si 1.62
13 O 0.7548 0.7769 0.6126  1 Si 1.62
14 O 0.9778 0.7548 0.3874  1 Si 1.62
15 O 0.2231 0.9778 0.8874  1 Si 1.62
16 O 0.4068 0.4882 0.7500  2 Si 1.66-1.67
17 O 0.2452 0.2231 0.1126  1 Si 1.62
18 O 0.7769 0.0222 0.1126  1 Si 1.62
19 O 0.0222 0.2452 0.6126  1 Si 1.62
20 O 0.2452 0.2231 0.3874  1 Si 1.62
21 O 0.7769 0.0222 0.3874  1 Si 1.62
22 O 0.9185 0.4068 0.2500  2 Si 1.66-1.67
23 Si 0.6228 0.7523 0.7500  4 O 1.62-1.67
24 Si 0.8706 0.6228 0.2500  4 O 1.62-1.67
25 Si 0.3772 0.2477 0.2500  4 O 1.62-1.67
26 Si 0.1294 0.3772 0.7500  4 O 1.62-1.67
27 Si 0.2477 0.8706 0.7500  4 O 1.62-1.67
28 Si 0.7523 0.1294 0.2500  4 O 1.62-1.67
29 Ti 0.0000 0.0000 0.0000  6 O 1.97
30 Ti 0.0000 0.0000 0.5000  6 O 1.97

## Properties
Its formation energy from raw total energies is -2.72 eV/atom. The calculated total energy is -223.61 eV for the cell shown. The calculation puts the density of states at the Fermi level at 0.00 states/eV/f.u.


6.
TbAs2PtO8 | GGA-PBE | relaxed

Unit cell a=5.4873 b=5.4873 c=6.7513 alpha=90.00 beta=90.00 gamma=120.00
With the nearest neighbours (Å) after each atom.
Atoms (fractional coordinates):
1 As 0.3333 0.6667 0.7129  4 O 1.69-1.74
2 As 0.6667 0.3333 0.2871  4 O 1.69-1.74
3 O 0.3131 0.1566 0.2204  1 As 1.74
4 O 0.3333 0.6667 0.4631  1 As 1.69
5 O 0.1566 0.3131 0.7796  1 As 1.74
6 O 0.8434 0.6869 0.2204  1 As 1.74
7 O 0.6869 0.8434 0.7796  1 As 1.74
8 O 0.6667 0.3333 0.5369  1 As 1.69
9 O 0.1566 0.8434 0.7796  1 As 1.74
10 O 0.8434 0.1566 0.2204  1 As 1.74
11 Pt 0.0000 0.0000 0.0000  6 O 2.10
12 Tb 0.0000 0.0000 0.5000  6 O 2.40

## Properties
Its formation energy from raw total energies is -1.34 eV/atom. The calculated total energy is -75.66 eV for the cell shown. The calculation puts the density of states at the Fermi level at 2.42 states/eV/f.u.


7.
Al2Cu | GGA-PBE | relaxed

Unit cell a=6.0783 b=6.0783 c=6.0783 alpha=153.69 beta=153.69 gamma=37.55
With the nearest neighbours (Å) after each atom.
Atoms (fractional coordinates):
1 Cu 0.0000 0.0000 0.0000  8 Al 2.64, 4 Cu 2.77
2 Al 0.3458 0.3458 0.0000  4 Cu 2.64, 8 Al 2.77-2.95
3 Al 0.6542 0.6542 0.0000  4 Cu 2.64, 8 Al 2.77-2.95

## Properties
The calculated total energy is -11.85 eV for the cell shown. The calculation puts the density of states at the Fermi level at 0.93 states/eV/f.u. The formation energy is -0.27 eV per formula unit.


8.
NdPu2O8 | GGA-PBE | relaxed

Unit cell a=4.6068 b=7.3472 c=6.3213 alpha=125.53 beta=86.53 gamma=90.01
With the nearest neighbours (Å) after each atom.
Atoms (fractional coordinates):
1 O 0.2385 0.5725 0.1451  1 Pu 2.06
2 O 0.7615 0.4275 0.8548  1 Pu 2.06
3 O 0.2654 0.1829 0.3656  1 Pu 1.95
4 O 0.7489 0.3653 0.2432  1 Pu 1.88
5 O 0.7490 0.8780 0.2434  1 Pu 1.88
6 O 0.2510 0.1220 0.7565  1 Pu 1.88
7 O 0.2511 0.6347 0.7568  1 Pu 1.88
8 O 0.7346 0.8171 0.6344  1 Pu 1.95
9 Nd 0.0000 0.0000 0.0000  6 O 2.32-2.43
10 Pu 0.7370 0.6281 0.2561  4 O 1.88-2.06
11 Pu 0.2630 0.3719 0.7439  4 O 1.88-2.06

## Properties
Its formation energy from raw total energies is -2.54 eV/atom. The calculated total energy is -101.07 eV for the cell shown. The calculation puts the density of states at the Fermi level at 5.56 states/eV/f.u.